## ReAg2Te (PBE)

Data for a relaxed structure of ReAg2Te.

## Properties
Formation energy without anion corrections   775 meV per atom
Total magnetic moment   0.00 μB per formula unit
Electronic total energy   -4.5476 eV per atom

a b c (Å): 6.2532 5.5334 2.8332
angles (deg): 89.97 63.12 116.70
Positions (direct):
Ag1 0.5000 0.0000 0.5000
Re1 0.0000 0.5000 0.5000
Ag2 0.0000 0.0000 0.0000
Te1 0.5000 0.5000 0.0000